--- i ---
Crystalline NpVSi2 at its relaxed geometry, computed with PBE.

a = 3.207 Å, b = 3.207 Å, c = 6.340 Å
α = 90.00°, β = 90.00°, γ = 90.00°
Atoms (fractional coordinates):
Np: 0.000 0.000 0.000
V: 0.000 0.000 0.500
Si: 0.500 0.500 0.308
Si: 0.500 0.500 0.692

Output
symmetry = No. 123
N(E_F) = 1.5649 states/eV/atom

--- ii ---
Crystalline NpVSi2 at its relaxed geometry, computed with PBE.

a = 6.872 Å, b = 6.872 Å, c = 6.872 Å
α = 30.17°, β = 30.17°, γ = 30.17°
Atoms (fractional coordinates):
Np: 0.000 0.000 0.000
V: 0.500 0.500 0.500
Si: 0.235 0.235 0.235
Si: 0.765 0.765 0.765

Output
symmetry = No. 166
N(E_F) = 1.1683 states/eV/atom

Stability ranking, top and bottom: i is the most stable and ii is the least stable.

--- i ---
Crystalline Np3Sn at its relaxed geometry, computed with PBE.

a = 4.577 Å, b = 4.577 Å, c = 4.577 Å
α = 90.00°, β = 90.00°, γ = 90.00°
Atoms (fractional coordinates):
Np: 0.000 0.000 0.500
Np: 0.000 0.500 0.000
Np: 0.500 0.000 0.000
Sn: 0.500 0.500 0.500

Output
symmetry = No. 221
N(E_F) = 3.5238 states/eV/atom

--- ii ---
Crystalline Np3Sn at its relaxed geometry, computed with PBE.

a = 3.536 Å, b = 5.048 Å, c = 5.445 Å
α = 90.00°, β = 90.00°, γ = 90.00°
Atoms (fractional coordinates):
Np: 0.000 0.000 0.000
Np: 0.000 0.500 0.145
Np: 0.500 0.000 0.294
Sn: 0.500 0.500 0.662

Output
symmetry = No. 25
N(E_F) = 2.2453 states/eV/atom

--- iii ---
Crystalline Np3Sn at its relaxed geometry, computed with PBE.

a = 5.683 Å, b = 5.683 Å, c = 5.683 Å
α = 133.09°, β = 133.09°, γ = 68.51°
Atoms (fractional coordinates):
Np: 0.000 0.000 0.000
Np: 0.250 0.750 0.500
Np: 0.750 0.250 0.500
Sn: 0.500 0.500 0.000

Output
symmetry = No. 139
N(E_F) = 3.6269 states/eV/atom

Stability ranking, top and bottom: i is the most stable and iii is the least stable.

--- i ---
Crystalline NpSn4 at its relaxed geometry, computed with PBE.

a = 5.762 Å, b = 5.762 Å, c = 5.762 Å
α = 90.00°, β = 90.00°, γ = 90.00°
Atoms (fractional coordinates):
Np: 0.000 0.000 0.000
Sn: 0.000 0.000 0.500
Sn: 0.000 0.500 0.000
Sn: 0.500 0.000 0.000
Sn: 0.500 0.500 0.500

Output
symmetry = No. 221
N(E_F) = 2.2479 states/eV/atom

--- ii ---
Crystalline NpSn4 at its relaxed geometry, computed with PBE.

a = 9.811 Å, b = 9.811 Å, c = 9.811 Å
α = 153.13°, β = 141.87°, γ = 47.26°
Atoms (fractional coordinates):
Np: 0.344 0.094 0.250
Np: 0.656 0.906 0.750
Sn: 0.000 0.500 0.500
Sn: 0.155 0.905 0.250
Sn: 0.186 0.693 0.493
Sn: 0.300 0.307 0.993
Sn: 0.500 0.500 0.000
Sn: 0.700 0.693 0.007
Sn: 0.814 0.307 0.507
Sn: 0.845 0.095 0.750

Output
symmetry = No. 74
N(E_F) = 2.3489 states/eV/atom

Stability ranking, top and bottom: ii is the most stable and i is the least stable.

--- i ---
Crystalline NpTc2Sn at its relaxed geometry, computed with PBE.

a = 4.683 Å, b = 4.683 Å, c = 4.683 Å
α = 60.00°, β = 60.00°, γ = 60.00°
Atoms (fractional coordinates):
Np: 0.000 0.000 0.000
Tc: 0.250 0.250 0.250
Tc: 0.750 0.750 0.750
Sn: 0.500 0.500 0.500

Output
symmetry = No. 225
N(E_F) = 1.8089 states/eV/atom

--- ii ---
Crystalline NpTc2Sn at its relaxed geometry, computed with PBE.

a = 4.554 Å, b = 4.554 Å, c = 3.466 Å
α = 90.00°, β = 90.00°, γ = 90.00°
Atoms (fractional coordinates):
Np: 0.000 0.000 0.000
Tc: 0.000 0.500 0.500
Tc: 0.500 0.000 0.500
Sn: 0.500 0.500 0.000

Output
symmetry = No. 123
N(E_F) = 1.4555 states/eV/atom

Stability ranking, top and bottom: ii is the most stable and i is the least stable.